(1)
Ac5CeHg6, optimized geometry, DFT PBE-GGA; calculated total energy = -2.79 eV per atom; crystal system = monoclinic; SG = C2/m (12)
1.0
8.978 -4.019 0.000
8.978 4.019 0.000
-1.788 0.000 5.386
Ac Ce Hg
5 1 6
direct
0.000 0.000 0.000 Ac
0.166 0.166 0.666 Ac
0.333 0.333 0.333 Ac
0.667 0.667 0.667 Ac
0.834 0.834 0.334 Ac
0.500 0.500 0.000 Ce
0.094 0.582 0.838 Hg
0.261 0.739 0.500 Hg
0.418 0.906 0.162 Hg
0.582 0.094 0.838 Hg
0.739 0.261 0.500 Hg
0.906 0.418 0.162 Hg


(2)
Ho3ThO, optimized geometry, DFT PBE-GGA; formation energy (no corrections) = -1.044 eV/atom; calculated total energy = -6.27 eV per atom; crystal system = cubic; SG = Pm-3m (221)
1.0
4.935 0.000 0.000
0.000 4.935 0.000
0.000 0.000 4.935
Ho Th O
3 1 1
direct
0.000 0.000 0.500 Ho
0.000 0.500 0.000 Ho
0.500 0.000 0.000 Ho
0.500 0.500 0.500 Th
0.000 0.000 0.000 O


(3)
SbPbCl2, optimized geometry, DFT PBE-GGA; formation energy (no corrections) = -0.327 eV/atom; calculated total energy = -3.21 eV per atom; ΔE to the lowest computed polymorph = 0.209 eV per atom; crystal system = tetragonal; SG = P4mm (99)
1.0
3.754 0.000 0.000
0.000 3.754 0.000
0.000 0.000 8.209
Sb Pb Cl
1 1 2
direct
0.000 0.000 0.000 Sb
0.500 0.500 0.735 Pb
0.000 0.000 0.545 Cl
0.500 0.500 0.165 Cl


(4)
Zr2SbSe, optimized geometry, DFT PBE-GGA; formation energy (no corrections) = -0.461 eV/atom; calculated total energy = -6.64 eV per atom; ΔE to the lowest computed polymorph = 0.466 eV per atom; crystal system = trigonal; SG = R3m (160)
1.0
3.476 0.000 0.000
-1.738 3.010 0.000
0.000 0.000 28.320
Zr Sb Se
6 3 3
direct
0.000 0.000 0.000 Zr
0.000 0.000 0.246 Zr
0.333 0.667 0.667 Zr
0.333 0.667 0.913 Zr
0.667 0.333 0.333 Zr
0.667 0.333 0.580 Zr
0.000 0.000 0.749 Sb
0.333 0.667 0.416 Sb
0.667 0.333 0.083 Sb
0.000 0.000 0.519 Se
0.333 0.667 0.185 Se
0.667 0.333 0.852 Se


(5)
Cs3CeHo2Te6, optimized geometry, DFT PBE-GGA; formation energy (no corrections) = -1.361 eV/atom; calculated total energy = -4.40 eV per atom; crystal system = monoclinic; SG = C2/m (12)
1.0
3.989 -6.909 0.000
3.989 6.909 0.000
-2.662 0.000 8.914
Cs Ce Ho Te
3 1 2 6
direct
0.000 0.000 0.000 Cs
0.336 0.664 0.000 Cs
0.664 0.336 0.000 Cs
0.500 0.500 0.500 Ce
0.167 0.833 0.500 Ho
0.833 0.167 0.500 Ho
0.093 0.436 0.309 Te
0.220 0.220 0.690 Te
0.436 0.093 0.309 Te
0.564 0.907 0.691 Te
0.780 0.780 0.310 Te
0.907 0.564 0.691 Te